# 1
First-principles (PBE) data for a relaxed structure of Mn2V3Mo2, as listed in the Alexandria database.

Structure (extended XYZ):
```
7
Lattice="2.607 0.000 0.000 -0.003 4.119 0.000 -1.102 -2.040 8.790" Properties=species:S:1:pos:R:3 pbc="T T T"
Mn 0.440 0.000 1.101
Mn 1.062 2.079 7.690
V -0.591 0.012 6.463
V 1.302 2.059 0.000
V 2.093 2.067 2.327
Mo 0.356 0.009 3.717
Mo 1.146 2.070 5.073
```

Output
Uncorrected energy ... -9.59 eV per atom
Energy of formation ... 33 meV/atom



# 2
First-principles (PBE) data for a relaxed structure of MnV4Mo2, as listed in the Alexandria database.

Structure (extended XYZ):
```
7
Lattice="-2.125 2.125 6.197 2.125 -2.125 6.197 2.125 2.125 -6.197" Properties=species:S:1:pos:R:3 pbc="T T T"
Mn 0.000 0.000 0.000
V 2.125 0.000 0.000
V 0.000 0.000 2.294
V 0.000 2.125 0.000
V 0.000 0.000 10.100
Mo 0.000 0.000 4.608
Mo 0.000 0.000 7.786
```

Output
Uncorrected energy ... -8.75 eV per atom
Energy of formation ... 867 meV/atom
Energy relative to the lowest polymorph listed for this composition ... 801 meV per atom



# 3
First-principles (PBE) data for a relaxed structure of Mn3V4Mo, as listed in the Alexandria database.

Structure (extended XYZ):
```
8
Lattice="2.923 0.000 0.000 0.000 2.923 0.000 0.000 0.000 11.795" Properties=species:S:1:pos:R:3 pbc="T T T"
Mn 0.000 0.000 0.000
Mn 0.000 0.000 2.859
Mn 0.000 0.000 8.936
V 1.462 1.462 1.426
V 1.462 1.462 4.289
V 1.462 1.462 7.506
V 1.462 1.462 10.369
Mo 0.000 0.000 5.897
```

Output
Uncorrected energy ... -9.55 eV per atom
Energy of formation ... -197 meV/atom



# 4
First-principles (PBE) data for a relaxed structure of Mn2V4Mo, as listed in the Alexandria database.

Structure (extended XYZ):
```
7
Lattice="-2.253 2.253 6.157 2.253 -2.253 6.157 2.253 2.253 -6.157" Properties=species:S:1:pos:R:3 pbc="T T T"
Mn 0.000 0.000 1.413
Mn 0.000 0.000 10.902
V 2.253 0.000 0.000
V 0.000 0.000 3.707
V 0.000 2.253 0.000
V 0.000 0.000 8.608
Mo 0.000 0.000 6.157
```

Output
Uncorrected energy ... -8.28 eV per atom
Energy of formation ... 1102 meV/atom



# 5
First-principles (PBE) data for a relaxed structure of MnV6Mo12, as listed in the Alexandria database.

Structure (extended XYZ):
```
19
Lattice="5.866 3.386 2.471 -5.866 3.386 2.471 0.000 -6.773 2.471" Properties=species:S:1:pos:R:3 pbc="T T T"
Mn 0.000 0.000 0.000
V -1.299 -2.562 3.223
V -2.868 -0.156 4.190
V -1.569 2.405 3.223
V 1.569 -2.405 4.190
V 2.868 0.156 3.223
V 1.299 2.562 4.190
Mo -3.982 1.478 2.055
Mo -1.612 -0.307 2.103
Mo 0.711 -4.187 2.055
Mo -3.271 -2.709 5.358
Mo 1.072 -1.242 2.103
Mo 0.540 1.549 2.103
Mo -0.540 -1.549 5.310
Mo -1.072 1.242 5.310
Mo 3.271 2.709 2.055
Mo -0.711 4.187 5.358
Mo 1.612 0.307 5.310
Mo 3.982 -1.478 5.358
```

Output
Uncorrected energy ... -9.86 eV per atom
Energy of formation ... 344 meV/atom



# 6
First-principles (PBE) data for a relaxed structure of MnV3Mo2, as listed in the Alexandria database.

Structure (extended XYZ):
```
12
Lattice="2.129 -6.393 0.000 2.129 6.393 0.000 0.000 0.000 6.037" Properties=species:S:1:pos:R:3 pbc="T T T"
Mn 2.129 4.236 0.000
Mn 2.129 -4.236 0.000
V 0.000 0.000 1.476
V 0.000 0.000 4.561
V 2.129 2.170 1.454
V 2.129 2.170 4.583
V 2.129 -2.170 1.454
V 2.129 -2.170 4.583
Mo 2.129 4.261 3.019
Mo 2.129 0.000 0.000
Mo 2.129 0.000 3.019
Mo 2.129 -4.261 3.019
```

Output
Uncorrected energy ... -9.84 eV per atom
Energy of formation ... -142 meV/atom



# 7
First-principles (PBE) data for a relaxed structure of ZrMnVMo, as listed in the Alexandria database.

Structure (extended XYZ):
```
4
Lattice="0.000 3.147 3.147 3.147 0.000 3.147 3.147 3.147 0.000" Properties=species:S:1:pos:R:3 pbc="T T T"
Zr 0.000 0.000 0.000
Mn 1.573 1.573 1.573
V 3.147 3.147 3.147
Mo 4.720 4.720 4.720
```

Output
Uncorrected energy ... -9.38 eV per atom
Energy of formation ... 40 meV/atom



# 8
First-principles (PBE) data for a relaxed structure of ZrMn2VMo, as listed in the Alexandria database.

Structure (extended XYZ):
```
5
Lattice="4.590 0.000 0.000 0.000 4.590 0.000 0.000 0.000 4.979" Properties=species:S:1:pos:R:3 pbc="T T T"
Zr 0.000 0.000 0.000
Mn 0.000 2.295 2.489
Mn 2.295 0.000 2.489
V 2.295 2.295 0.000
Mo 0.000 0.000 2.489
```

Output
Uncorrected energy ... -8.12 eV per atom
Energy of formation ... 1248 meV/atom



# 9
First-principles (PBE) data for a relaxed structure of MnMo6W2, as listed in the Alexandria database.

Structure (extended XYZ):
```
9
Lattice="6.927 -2.630 0.000 6.927 2.630 0.000 -1.423 0.000 4.222" Properties=species:S:1:pos:R:3 pbc="T T T"
Mn 0.000 0.000 0.000
Mo 3.806 1.277 1.292
Mo 6.216 1.301 2.111
Mo 8.625 1.277 2.930
Mo 3.806 -1.277 1.292
Mo 6.216 -1.301 2.111
Mo 8.625 -1.277 2.930
W 4.189 0.000 3.774
W 8.242 0.000 0.448
```

Output
Uncorrected energy ... -10.42 eV per atom
Energy of formation ... 695 meV/atom



# 10
First-principles (PBE) data for a relaxed structure of Mn2MoW, as listed in the Alexandria database.

Structure (extended XYZ):
```
4
Lattice="0.000 3.025 3.025 3.025 0.000 3.025 3.025 3.025 0.000" Properties=species:S:1:pos:R:3 pbc="T T T"
Mn 0.000 0.000 0.000
Mn 1.512 1.512 1.512
Mo 4.537 4.537 4.537
W 3.025 3.025 3.025
```

Output
Uncorrected energy ... -10.39 eV per atom
Energy of formation ... 136 meV/atom



# 11
First-principles (PBE) data for a relaxed structure of MnMoW2, as listed in the Alexandria database.

Structure (extended XYZ):
```
4
Lattice="1.380 0.797 9.158 -1.380 0.797 9.158 0.000 -1.594 9.158" Properties=species:S:1:pos:R:3 pbc="T T T"
Mn 0.000 0.000 0.000
Mo 0.000 0.000 7.076
W 0.000 0.000 13.759
W 0.000 0.000 20.441
```

Output
Uncorrected energy ... -11.08 eV per atom
Energy of formation ... 400 meV/atom
Energy relative to the lowest polymorph listed for this composition ... 343 meV per atom



# 12
First-principles (PBE) data for a relaxed structure of Mn2MoW, as listed in the Alexandria database.

Structure (extended XYZ):
```
4
Lattice="2.662 -4.125 0.000 2.662 4.125 0.000 -0.832 0.000 2.526" Properties=species:S:1:pos:R:3 pbc="T T T"
Mn 1.331 2.063 0.000
Mn 1.331 -2.063 0.000
Mo -0.416 0.000 1.263
W 2.247 0.000 1.263
```

Output
Uncorrected energy ... -10.40 eV per atom
Energy of formation ... 128 meV/atom



# 13
First-principles (PBE) data for a relaxed structure of MnMoW2, as listed in the Alexandria database.

Structure (extended XYZ):
```
4
Lattice="-1.577 2.207 4.337 1.577 -2.207 4.337 1.577 2.207 -4.337" Properties=species:S:1:pos:R:3 pbc="T T T"
Mn 0.000 0.000 0.000
Mo 1.577 0.000 2.178
W 0.000 0.000 4.340
W 0.000 2.207 2.176
```

Output
Uncorrected energy ... -11.37 eV per atom
Energy of formation ... 111 meV/atom
Energy relative to the lowest polymorph listed for this composition ... 54 meV per atom



# 14
First-principles (PBE) data for a relaxed structure of MnMoW2, as listed in the Alexandria database.

Structure (extended XYZ):
```
4
Lattice="3.140 0.000 0.000 0.000 4.373 0.000 0.000 0.000 4.414" Properties=species:S:1:pos:R:3 pbc="T T T"
Mn 0.000 0.000 0.000
Mo 1.570 0.000 2.207
W 0.000 2.187 2.207
W 1.570 2.187 0.000
```

Output
Uncorrected energy ... -11.37 eV per atom
Energy of formation ... 110 meV/atom
Energy relative to the lowest polymorph listed for this composition ... 53 meV per atom



# 15
First-principles (PBE) data for a relaxed structure of Mn2Mo2W, as listed in the Alexandria database.

Structure (extended XYZ):
```
10
Lattice="6.984 0.000 0.000 0.000 6.984 0.000 0.000 0.000 2.890" Properties=species:S:1:pos:R:3 pbc="T T T"
Mn 0.946 2.546 0.000
Mn 2.546 6.038 0.000
Mn 4.438 0.946 0.000
Mn 6.038 4.438 0.000
Mo 1.164 4.656 1.445
Mo 2.328 1.164 1.445
Mo 4.656 5.821 1.445
Mo 5.821 2.328 1.445
W 0.000 0.000 0.000
W 3.492 3.492 0.000
```

Output
Uncorrected energy ... -10.30 eV per atom
Energy of formation ... 290 meV/atom



# 16
First-principles (PBE) data for a relaxed structure of Mn2MoW, as listed in the Alexandria database.

Structure (extended XYZ):
```
4
Lattice="-1.564 2.154 4.116 1.564 -2.154 4.116 1.564 2.154 -4.116" Properties=species:S:1:pos:R:3 pbc="T T T"
Mn 0.000 0.000 2.059
Mn 0.000 0.000 6.172
Mo 0.000 2.154 0.000
W 1.564 0.000 0.000
```

Output
Uncorrected energy ... -10.40 eV per atom
Energy of formation ... 127 meV/atom



# 17
First-principles (PBE) data for a relaxed structure of MnMoW2, as listed in the Alexandria database.

Structure (extended XYZ):
```
4
Lattice="2.736 0.000 0.000 0.000 2.736 0.000 0.000 0.000 7.987" Properties=species:S:1:pos:R:3 pbc="T T T"
Mn 0.000 0.000 0.000
Mo 1.368 1.368 1.708
W 0.000 0.000 3.964
W 1.368 1.368 6.219
```

Output
Uncorrected energy ... -11.22 eV per atom
Energy of formation ... 261 meV/atom
Energy relative to the lowest polymorph listed for this composition ... 204 meV per atom



# 18
First-principles (PBE) data for a relaxed structure of Mn2MoW, as listed in the Alexandria database.

Structure (extended XYZ):
```
4
Lattice="3.066 0.000 0.000 0.000 3.066 0.000 0.000 0.000 5.890" Properties=species:S:1:pos:R:3 pbc="T T T"
Mn 0.000 0.000 0.000
Mn 1.533 1.533 1.445
Mo 0.000 0.000 2.825
W 1.533 1.533 4.524
```

Output
Uncorrected energy ... -10.41 eV per atom
Energy of formation ... 123 meV/atom



# 19
First-principles (PBE) data for a relaxed structure of Mn2MoW, as listed in the Alexandria database.

Structure (extended XYZ):
```
4
Lattice="1.562 -2.157 0.000 1.562 2.157 0.000 0.000 0.000 8.228" Properties=species:S:1:pos:R:3 pbc="T T T"
Mn 0.000 0.000 2.054
Mn 0.000 0.000 6.174
Mo 1.562 0.000 0.000
W 1.562 0.000 4.114
```

Output
Uncorrected energy ... -10.40 eV per atom
Energy of formation ... 130 meV/atom



# 20
First-principles (PBE) data for a relaxed structure of MnMoW2, as listed in the Alexandria database.

Structure (extended XYZ):
```
8
Lattice="-3.501 3.501 2.607 3.501 -3.501 2.607 3.501 3.501 -2.607" Properties=species:S:1:pos:R:3 pbc="T T T"
Mn 0.000 0.000 0.000
Mn 0.000 3.501 1.303
Mo 3.501 0.000 1.303
Mo 0.000 0.000 2.607
W 5.251 1.584 -0.652
W 1.584 1.750 0.652
W -1.750 1.917 1.955
W 1.917 1.750 3.258
```

Output
Uncorrected energy ... -10.58 eV per atom
Energy of formation ... 893 meV/atom
Energy relative to the lowest polymorph listed for this composition ... 836 meV per atom